Density functional theory data (GGA-PBE) for an optimized crystal structure of Os.

Cell lengths 3.9306, 3.9306, 3.9306 Å; angles 119.78, 89.62, 60.22 degrees
Closest atoms and distances in Å follow each position.
Positions (direct):
Os 0.8750 0.2500 0.3750  4 Os 2.41
Os 0.1250 0.7500 0.6250  4 Os 2.41

Volume (A^3/atom): 21.54
Excess energy over the best structure of this formula in the dataset (eV per atom): 1.291
Formation energy (eV/atom): 1.29
M_tot (μB per cell): 0.0
Total DFT energy (no corrections) (eV/atom): -9.9387